Entry from the Alexandria database: crystalline Nd6Sm3Sc2 at its relaxed geometry (PBE-GGA).

Its volume is 34.44 Å³/atom. Its formation energy is 0.199 eV/atom. As for the magnetization: 0.00 μB per atom.

Cell: 6.249 10.842 11.379 Å, 90.00 100.66 90.00°
Space group C2/m (No. 12)
Inequivalent atoms, fractional coordinates:
Nd  0.244  0.166  0.233
Nd  0.246  0.500  0.234
Sm  0.000  0.166  0.500
Sm  0.000  0.500  0.500
Sc  0.000  0.334  0.000